Compound: Tb5Sb4S
Source: Alexandria via LeMat-Bulk
Functional: GGA-PBE
Structure: optimized geometry

abc: 6.1358 7.4736 7.4736
angles: 80.30 65.76 65.76
Closest atoms and distances in Å follow each position.
Element x y z (fractional)
Tb 0.9022 0.3859 0.8119  1 S 2.93, 5 Sb 3.07-3.12
Tb 0.2881 0.8119 0.6141  1 S 2.93, 5 Sb 3.07-3.12
Tb 0.7141 0.1881 0.3859  1 S 2.93, 5 Sb 3.07-3.12
Tb 0.1000 0.6141 0.1881  1 S 2.93, 5 Sb 3.07-3.12
Tb 0.5002 0.0000 0.0000  4 Sb 3.05, 2 S 3.06-3.08
Sb 0.4063 0.3966 0.7930  6 Tb 3.05-3.12
Sb 0.8028 0.7930 0.6034  6 Tb 3.05-3.12
Sb 0.1993 0.2070 0.3966  6 Tb 3.05-3.12
Sb 0.5959 0.6034 0.2070  6 Tb 3.05-3.12
S 0.0015 0.0000 0.0000  6 Tb 2.93-3.08

Total magnetic moment in μB/cell: 0.0
DOS(E_F) in states/eV per atom: 0.24
Uncorrected formation energy in meV per atom: -1297.1
E above lowest polymorph in eV/f.u.: 0.00